1.
The following is a GGA-PBEsol calculation of an optimized crystal structure of ScNiAs2Se, from Alexandria.

```
5
Lattice="-0.0261 -0.3692 4.4616 -4.2979 -1.2468 -0.1284 1.3556 -4.6343 -0.3756" Properties=species:S:1:pos:R:3 pbc="T T T"
Sc -1.4842 -3.1252 1.9788
Ni 0.0000 0.0000 0.0000
As -2.1489 -0.6234 -0.0642
As -0.0131 -0.1846 2.2308
Se 0.6778 -2.3171 -0.1878
```

Properties
- ΔE_f (raw) (eV per atom) = -0.12
- spin magnetization (μB per atom) = 0.000
- SG = No. 123


2.
The following is a GGA-PBEsol calculation of an optimized crystal structure of Pm3Ho, from Alexandria.

```
8
Lattice="-4.6489 -3.2782 0.5204 3.0258 -3.4184 5.4968 -3.9752 5.8221 1.1648" Properties=species:S:1:pos:R:3 pbc="T T T"
Pm -2.4583 1.7536 4.7615
Pm -1.9845 0.5540 1.4369
Pm -3.9684 3.4596 2.0182
Pm -3.1399 -2.6281 2.4205
Pm -3.6137 -1.4284 5.7451
Pm -1.6298 -4.3341 5.1638
Ho -5.1281 0.2833 2.9991
Ho -0.4700 -1.1578 4.1829
```

Properties
- E_form (meV/atom) = 26
- ΔE to the lowest computed polymorph (eV/atom) = 0.016
- spin magnetization (μB per atom) = 0.000
- SG = No. 194


3.
The following is a GGA-PBEsol calculation of an optimized crystal structure of Sr2InBiO6, from Alexandria.

```
10
Lattice="5.9062 0.0000 0.0000 2.9531 5.1149 0.0000 2.9531 1.7050 4.8224" Properties=species:S:1:pos:R:3 pbc="T T T"
Sr 8.8593 5.1149 3.6168
Sr 2.9531 1.7050 1.2056
Bi 0.0000 0.0000 0.0000
O 5.9062 1.6963 1.1995
O 4.4222 2.5531 3.6229
O 7.3902 4.2667 1.1995
O 4.4222 4.2667 1.1995
O 5.9062 5.1236 3.6229
O 7.3902 2.5531 3.6229
In 5.9062 3.4099 2.4112
```

Properties
- ΔE_f (raw) (eV per atom) = -1.86
- spin magnetization (μB per atom) = 0.000
- SG = No. 225


4.
The following is a GGA-PBEsol calculation of an optimized crystal structure of CrP3I, from Alexandria.

```
5
Lattice="-0.1083 4.3654 -0.9757 -0.2272 -0.9801 -4.3598 -4.4673 -0.0560 0.2454" Properties=species:S:1:pos:R:3 pbc="T T T"
I -2.4015 1.6646 -2.5451
Cr 0.0000 0.0000 0.0000
P -0.1136 -0.4901 -2.1799
P -2.2337 -0.0280 0.1227
P -0.0542 2.1827 -0.4879
```

Properties
- ΔE_f (raw) (eV per atom) = 0.36
- spin magnetization (μB per atom) = 0.000
- SG = No. 221


5.
The following is a GGA-PBEsol calculation of an optimized crystal structure of AlCd2Pb, from Alexandria.

```
4
Lattice="-0.7583 -3.2777 1.1264 4.4625 -0.2849 2.1751 -2.0182 1.9789 4.3999" Properties=species:S:1:pos:R:3 pbc="T T T"
Pb -1.3882 -0.6494 2.7631
Al 1.2222 0.8470 3.2875
Cd 0.0000 0.0000 0.0000
Cd 1.8521 -1.7813 1.6507
```

Properties
- E_form (meV/atom) = 206
- ΔE to the lowest computed polymorph (eV/atom) = 0.074
- spin magnetization (μB per atom) = 0.000
- SG = No. 47


6.
The following is a GGA-PBEsol calculation of an optimized crystal structure of Y5Au, from Alexandria.

```
6
Lattice="-1.4567 0.4620 -3.3137 -4.7362 -1.0370 3.9466 2.2397 7.9553 0.1246" Properties=species:S:1:pos:R:3 pbc="T T T"
Y -0.1457 6.4708 -1.0429
Y -1.8805 4.6338 1.4727
Y -4.8916 3.0061 0.5602
Y -1.7141 1.9524 -0.9835
Y -3.4504 0.1145 1.5327
Au -3.7752 6.9830 0.6240
```

Properties
- E_form (meV/atom) = -265
- ΔE to the lowest computed polymorph (eV/atom) = 0.000
- spin magnetization (μB per atom) = 0.000
- SG = No. 12


7.
The following is a GGA-PBEsol calculation of an optimized crystal structure of CoTePb2, from Alexandria.

```
4
Lattice="-1.2064 1.7114 -3.8627 -3.8957 -2.0052 0.3283 0.6986 4.1294 4.1102" Properties=species:S:1:pos:R:3 pbc="T T T"
Co 0.0000 0.0000 0.0000
Pb -1.5294 2.8469 -0.7598
Pb -2.8740 0.9887 1.3357
Te -2.5510 -0.1469 -1.7672
```

Properties
- ΔE to the lowest computed polymorph (eV/atom) = 0.398
- ΔE_f (raw) (eV per atom) = 0.53
- spin magnetization (μB per atom) = 0.358
- SG = No. 139


8.
The following is a GGA-PBEsol calculation of an optimized crystal structure of Ca2InFe, from Alexandria.

```
4
Lattice="-1.3250 -2.9445 -1.3960 2.8485 -2.8493 3.3062 -4.7788 3.0152 2.6079" Properties=species:S:1:pos:R:3 pbc="T T T"
Ca -0.1415 0.0042 0.1255
Ca -0.3425 -1.3726 3.2201
Fe -3.7955 0.1118 3.3665
In -2.9927 -1.4036 1.3689
```

Properties
- E_form (meV/atom) = 142
- spin magnetization (μB per atom) = 0.622
- SG = No. 44


9.
The following is a GGA-PBEsol calculation of an optimized crystal structure of Hf4CoP, from Alexandria.

```
12
Lattice="-3.2786 -2.1211 -3.5842 -3.5705 -2.2679 4.6081 -3.3776 5.2648 -0.0260" Properties=species:S:1:pos:R:3 pbc="T T T"
Co -2.4590 -1.5908 -2.6882
Co -0.8197 -0.5303 -0.8961
Hf -3.3236 0.3211 -1.0690
Hf -6.9030 0.5547 2.0670
Hf -4.5648 -1.7422 1.2874
Hf -5.6618 2.6180 -0.2895
Hf -4.1210 -0.1660 3.8679
Hf -5.2305 2.9113 3.0618
Hf -1.7175 0.0856 1.5204
Hf -2.8271 3.1629 0.7143
P -5.9330 -0.0923 -0.3971
P -4.2937 0.9682 1.3950
```

Properties
- E_form (meV/atom) = -671
- spin magnetization (μB per atom) = 0.000
- SG = No. 124


10.
The following is a GGA-PBEsol calculation of an optimized crystal structure of Te2AsRh, from Alexandria.

```
4
Lattice="-1.9940 0.0517 3.2576 1.6229 -1.1767 3.2515 2.5151 7.3874 3.6618" Properties=species:S:1:pos:R:3 pbc="T T T"
As 0.0000 0.0000 0.0000
Te 0.5045 1.4508 7.0042
Te 1.6395 4.8117 3.1667
Rh 1.0720 3.1312 5.0854
```

Properties
- ΔE_f (raw) (eV per atom) = 0.08
- spin magnetization (μB per atom) = 0.000
- SG = No. 166


Number 1: calculated total energy -5.49 eV per atom. Number 2: calculated total energy -5.06 eV per atom. Number 3: calculated total energy -6.11 eV per atom. Number 4: calculated total energy -5.52 eV per atom. Number 5: calculated total energy -2.42 eV per atom. Number 6: calculated total energy -6.60 eV per atom. Number 7: calculated total energy -4.29 eV per atom. Number 8: calculated total energy -3.91 eV per atom. Number 9: calculated total energy -9.93 eV per atom. Number 10: calculated total energy -5.00 eV per atom.